The following is a GGA-PBE calculation of a geometry-optimized NiAg3 structure, from the Alexandria database.

```
NiAg3
1.0
-2.3651 -2.9054 3.2491
-3.1921 -3.7402 0.6422
9.7585 4.2545 -4.4583
Ag Ni
3 1
Cartesian
-0.6657 -4.4311 1.6303
7.3188 3.1909 -3.3437
-0.0123 -0.0872 0.0318
2.4396 1.0636 -1.1146
```

Results
The total energy is -0.2495 Ry/atom. For the density of states at the Fermi level, the calculation gives 0.23 states/eV/atom. For the density, the calculation gives 9823 kg/m3.